The following is a PBE-GGA calculation of a geometry-optimized NaLiP2S structure, from Alexandria via LeMat-Bulk.

Summary:
Its uncorrected formation energy is 0.9074 eV per atom. The magnetic moment is 0.0 μB per cell. The polymorph energy (0 for the lowest one) is 578 meV per atom. The density of states at the Fermi level is 0.755 states/eV per atom.

Lattice parameters (Å, degrees): 4.8996 4.8996 4.9904 90.00 90.00 90.00
Closest atoms and distances in Å follow each position.
Positions (direct):
Na 0.0000 0.0000 0.0000  4 P 2.45, 2 S 2.50
Li 0.5000 0.5000 0.5000  4 S 3.46, 8 P 3.50
P 0.0000 0.5000 0.0000  2 Na 2.45
P 0.5000 0.0000 0.0000  2 Na 2.45
S 0.0000 0.0000 0.5000  2 Na 2.50